This record from Alexandria via LeMat-Bulk describes crystalline Ho4CdFe at its relaxed geometry. The functional is PBE.

Lattice parameters (Å, degrees): 8.6801 12.4986 6.0259 90.00 106.78 90.00
Space group C2/c (No. 15)
Inequivalent atoms, fractional coordinates:
Ho1 0.1039 0.1637 0.0445
Ho2 0.2204 0.4185 0.3910
Cd1 0.0000 0.3740 0.7500
Fe1 0.0000 0.0013 0.2500

Output
Density: 8.8 g cm⁻³
Size of the total moment: 0.0 Bohr magnetons per cell
Energy of formation from the pure elements: -0.125 eV per atom
Energy: -28.44 eV/f.u.